# Er2TePb PBE-GGA optimized geometry
# ΔE_f (raw): -720.4 meV per atom
# energy: -18.9 eV per cell
# ΔE to the lowest computed polymorph: 0.185 eV/atom
data_Er2TePb
_chemical_formula_sum 'Er2 Te1 Pb1'
_cell_length_a 3.672
_cell_length_b 3.672
_cell_length_c 8.100
_cell_angle_alpha 90.00
_cell_angle_beta 90.00
_cell_angle_gamma 90.00
_symmetry_space_group_name_H-M 'P 4/m m m'
_symmetry_Int_Tables_number 123
_symmetry_space_group_name_Hall '-P 4 2'
loop_
_atom_site_label
_atom_site_type_symbol
_atom_site_fract_x
_atom_site_fract_y
_atom_site_fract_z
Er1 Er 0.000 0.000 0.236
Te1 Te 0.500 0.500 0.000
Pb1 Pb 0.500 0.500 0.500